Below is a relaxed structure of Sc2PPd2, with properties calculated at the GGA-PBE level.

Summary:
ΔH_f (0 K) = -768 meV per atom
electronic total energy = -64.59 eV for the cell shown

POSCAR file:
```
Sc2PPd2
1.0
6.841 0.000 0.000
0.000 6.841 0.000
0.000 0.000 3.794
P Pd Sc
2 4 4
direct
0.500 0.500 0.000
0.000 0.000 0.000
0.862 0.638 0.000
0.362 0.862 0.000
0.638 0.138 0.000
0.138 0.362 0.000
0.672 0.828 0.500
0.828 0.328 0.500
0.172 0.672 0.500
0.328 0.172 0.500
```